No. 1
{
  "formula": "La7YEr2",
  "functional": "PBE",
  "state": "optimized geometry",
  "cell": [[-0.089, 3.464, 4.687], [-8.057, 3.699, -2.887], [0.405, -7.488, 5.541]],
  "species": ["La", "La", "La", "La", "La", "La", "La", "Y", "Er", "Er"],
  "frac_coords": [[0.000, 0.234, 0.766], [0.500, 0.067, 0.295], [0.500, 0.705, 0.933], [0.500, 0.295, 0.067], [0.000, 0.766, 0.234], [0.500, 0.500, 0.500], [0.500, 0.933, 0.705], [0.000, 0.000, 0.000], [0.500, 0.294, 0.706], [0.500, 0.706, 0.294]],
  "e_tot_ha_per_atom": -0.162,
  "density_g_cm3": 5.4,
  "space_group": "No. 65",
  "delta_e_f_ev_per_atom": 0.598
}

***

No. 2
{
  "formula": "Ce2Nd4Sn3H2",
  "functional": "PBE",
  "state": "optimized geometry",
  "cell": [[4.856, 0.000, 0.000], [0.000, 4.856, 0.000], [-2.428, -2.428, 12.814]],
  "species": ["Ce", "Ce", "Nd", "Nd", "Nd", "Nd", "H", "H", "Sn", "Sn", "Sn"],
  "frac_coords": [[0.699, 0.699, 0.397], [0.301, 0.301, 0.603], [0.083, 0.583, 0.166], [0.417, 0.917, 0.834], [0.917, 0.417, 0.834], [0.583, 0.083, 0.166], [0.602, 0.602, 0.204], [0.398, 0.398, 0.796], [0.826, 0.826, 0.651], [0.000, 0.000, 0.000], [0.174, 0.174, 0.349]],
  "e_tot_ha_per_atom": -0.184,
  "density_g_cm3": 6.7,
  "space_group": "No. 139"
}